Record 1
A relaxed Ac5Ta2S12 crystal. Source: the Alexandria database, functional PBE.

DOS at the Fermi energy	2.7	states/eV/cell
total energy	-6.71	eV per atom
symmetry	C2/m

```
19
Lattice="-2.5390 6.2501 -2.7583 -4.7350 -7.1471 -2.2074 -3.0504 2.5538 8.5947" Properties=species:S:1:pos:R:3 pbc="T T T"
S -0.5701 0.4586 1.5638
S -7.5424 1.1610 4.7923
S -5.4809 4.9308 1.7827
S -1.8488 3.5717 0.1661
S -4.8436 -3.2739 1.8463
S -2.7820 0.4959 -1.1634
S -4.2135 1.8110 3.1595
S -6.2817 -1.9424 6.1619
S -8.4756 -1.9148 3.4629
S -6.1109 -0.1542 0.4694
S -4.0427 3.5993 -2.5329
S -9.7543 1.1983 2.0652
Ac -5.6332 -0.7999 3.3729
Ac -4.6912 2.4567 0.2561
Ac -6.0529 3.7576 4.4572
Ac -4.2716 -2.1008 -0.8282
Ac -1.5252 1.2769 4.2973
Ta -0.5981 1.4722 -0.6497
Ta -1.9410 4.7779 -2.1086
```

=====

Record 2
A relaxed AcTaS2 crystal. Source: the Alexandria database, functional PBE.

DOS at the Fermi energy	3.9	states/eV/cell
total energy	-7.09	eV per atom
symmetry	R-3m

```
4
Lattice="-1.5242 2.4727 2.8697 -3.1400 -1.2337 2.3002 2.2085 -1.8320 5.6565" Properties=species:S:1:pos:R:3 pbc="T T T"
Ac -1.2279 -0.2965 5.4132
S -1.6180 -0.5782 8.3537
S -0.8377 -0.0147 2.4727
Ta 0.0000 0.0000 0.0000
```

=====

Record 3
A relaxed AcTaS3 crystal. Source: the Alexandria database, functional PBE.

DOS at the Fermi energy	2.2	states/eV/cell
total energy	-7.11	eV per atom
symmetry	Cm

```
10
Lattice="3.6605 0.0017 -0.6180 0.0334 6.0572 0.2147 -0.0987 0.5090 10.5685" Properties=species:S:1:pos:R:3 pbc="T T T"
S 0.8291 2.4408 7.4281
S 2.7490 5.4559 7.6591
S 2.2562 3.6427 4.7358
S 0.3443 0.6378 4.5518
S 1.6813 0.2676 1.3191
S 1.4942 3.3436 0.2209
Ta 0.6582 4.9000 6.4237
Ta 2.4315 1.1884 5.7659
Ac 0.0228 4.2605 2.6573
Ac 3.0635 1.8696 9.5132
```

=====

Record 4
A relaxed Ac2Ta2S7 crystal. Source: the Alexandria database, functional PBE.

DOS at the Fermi energy	5.5	states/eV/cell
total energy	-6.83	eV per atom
symmetry	C2/m

```
11
Lattice="6.8013 0.0519 0.0748 -0.6816 7.5095 -0.5335 -0.6816 -3.1366 6.8439" Properties=species:S:1:pos:R:3 pbc="T T T"
S 4.7069 2.7093 0.1971
S 0.0000 0.0000 0.0000
S 4.4761 2.5529 3.6840
S 0.7312 5.1917 3.7793
S 0.9620 1.8719 2.7013
S 4.7069 -0.7669 2.6059
S 0.7312 1.7155 6.1882
Ac 2.7191 0.2919 4.5234
Ac 2.7191 4.1328 1.8618
Ta -0.2544 3.1964 4.6127
Ta 5.6925 1.2284 1.7726
```

=====

> Among the records above, which one has the lowest DOS at the Fermi energy?

AcTaS3

=====

> Which value of DOS at the Fermi energy does entry 2 give?

3.9 states/eV/cell